The following is a DFT calculation (PBE) of crystalline RbClF2 at its relaxed geometry.

Cell and atoms, written as extended XYZ:
```
4
Lattice="-0.927 -1.281 6.364 3.451 -0.447 5.558 0.503 2.982 5.818" Properties=species:S:1:pos:R:3 pbc="T T T"
F 2.710 1.122 15.880
F 0.317 0.131 1.860
Rb 1.514 0.627 8.870
Cl 0.000 0.000 0.000
```

## Properties
The value obtained for the density of states at the Fermi level is 0.00 states/eV/cell. The space group is R-3m. Its formation energy (no corrections) is -6.80 eV/f.u.

***

The following is a DFT calculation (PBE) of crystalline Rb2ClF4 at its relaxed geometry.

Cell and atoms, written as extended XYZ:
```
7
Lattice="6.408 0.000 0.000 0.000 6.408 0.000 -3.204 -3.204 3.813" Properties=species:S:1:pos:R:3 pbc="T T T"
Rb 3.204 0.000 1.906
Rb 0.000 3.204 1.906
Cl 3.204 3.204 0.000
F 1.484 -1.484 3.813
F -1.484 1.484 3.813
F 4.688 4.688 0.000
F 1.720 1.720 0.000
```

## Properties
The value obtained for the density of states at the Fermi level is 5.93 states/eV/cell. The space group is I4/mmm. Its formation energy (no corrections) is -11.81 eV/f.u.

***

The following is a DFT calculation (PBE) of crystalline Rb2ClF at its relaxed geometry.

Cell and atoms, written as extended XYZ:
```
16
Lattice="4.472 0.000 0.000 0.000 7.602 0.000 0.000 0.000 14.495" Properties=species:S:1:pos:R:3 pbc="T T T"
Rb 3.354 1.599 7.471
Rb 1.118 2.202 0.224
Rb 1.118 6.003 7.024
Rb 3.354 5.400 14.271
Rb 3.354 4.957 3.669
Rb 1.118 6.446 10.917
Rb 1.118 2.645 10.826
Rb 3.354 1.156 3.578
Cl 3.354 4.545 9.248
Cl 1.118 6.859 2.000
Cl 1.118 3.058 5.247
Cl 3.354 0.743 12.495
F 3.354 6.952 5.680
F 1.118 4.452 12.928
F 1.118 0.651 8.815
F 3.354 3.150 1.567
```

## Properties
The value obtained for the density of states at the Fermi level is 0.00 states/eV/cell. The space group is Pnma. Its formation energy (no corrections) is -9.13 eV/f.u.

***

The following is a DFT calculation (PBE) of crystalline RbClF2 at its relaxed geometry.

Cell and atoms, written as extended XYZ:
```
4
Lattice="0.000 3.394 3.394 3.394 0.000 3.394 3.394 3.394 0.000" Properties=species:S:1:pos:R:3 pbc="T T T"
F 1.697 1.697 1.697
F 5.091 5.091 5.091
Rb 3.394 3.394 3.394
Cl 0.000 0.000 0.000
```

## Properties
The value obtained for the density of states at the Fermi level is 1.11 states/eV/cell. The space group is Fm-3m. Its formation energy (no corrections) is -4.31 eV/f.u.

***

The following is a DFT calculation (PBE) of crystalline RbCl3F12 at its relaxed geometry.

Cell and atoms, written as extended XYZ:
```
32
Lattice="-7.648 7.682 0.163 -10.430 -2.709 -1.186 -6.522 1.041 5.430" Properties=species:S:1:pos:R:3 pbc="T T T"
Rb -6.474 1.100 4.872
Rb -12.252 3.066 1.645
Cl -15.106 4.947 5.012
Cl -9.567 0.184 2.040
Cl -11.218 6.767 2.601
Cl -9.335 3.789 5.385
Cl -13.180 -0.611 4.584
Cl -16.092 2.100 1.683
F -9.291 2.003 5.253
F -7.818 0.136 2.309
F -20.132 4.875 1.665
F -9.511 5.446 -0.234
F -9.556 1.968 2.330
F -11.072 3.761 5.265
F -10.106 3.009 -0.521
F -17.253 6.132 2.047
F -10.369 5.190 2.560
F -4.444 0.610 2.649
F -12.793 5.889 2.471
F -11.355 0.238 1.947
F -12.350 0.897 4.849
F -13.590 5.859 5.295
F -11.453 0.036 -0.979
F -13.277 1.782 -0.925
F -12.781 5.146 -0.523
F -14.207 3.457 4.963
F -15.167 3.605 1.979
F -15.193 4.462 -0.828
F -14.552 1.162 1.815
F -14.753 0.245 4.595
F -6.568 3.293 2.754
F -17.578 3.006 1.685
```

## Properties
The value obtained for the density of states at the Fermi level is 18.46 states/eV/cell. The space group is R3c. Its formation energy (no corrections) is -14.52 eV/f.u.

***

The following is a DFT calculation (PBE) of crystalline Rb2ClF at its relaxed geometry.

Cell and atoms, written as extended XYZ:
```
4
Lattice="4.280 0.000 0.000 2.140 3.707 0.000 2.140 1.236 7.508" Properties=species:S:1:pos:R:3 pbc="T T T"
Rb 2.140 1.236 5.899
Rb 2.140 1.236 1.611
Cl 4.280 2.471 3.770
F 6.420 3.707 7.491
```

## Properties
The value obtained for the density of states at the Fermi level is 0.00 states/eV/cell. The space group is R3m. Its formation energy (no corrections) is -9.02 eV/f.u.

***

The following is a DFT calculation (PBE) of crystalline RbCl2F2 at its relaxed geometry.

Cell and atoms, written as extended XYZ:
```
10
Lattice="-6.454 -3.832 -2.224 3.881 -6.785 0.429 -1.059 -0.371 3.713" Properties=species:S:1:pos:R:3 pbc="T T T"
F 1.309 -5.998 -0.226
F -1.883 -7.976 -1.333
F -3.882 -4.619 -1.569
F -0.691 -2.641 -0.461
Rb 0.000 0.000 0.000
Rb -1.287 -5.309 -0.897
Cl 1.181 -4.525 1.911
Cl -0.798 -8.623 0.937
Cl -4.813 -6.463 0.008
Cl -2.834 -2.365 0.982
```

## Properties
The value obtained for the density of states at the Fermi level is 0.00 states/eV/cell. The space group is P4/mbm. Its formation energy (no corrections) is -5.13 eV/f.u.

***

The following is a DFT calculation (PBE) of crystalline RbClF2 at its relaxed geometry.

Cell and atoms, written as extended XYZ:
```
8
Lattice="-4.475 -1.091 0.354 2.854 -0.772 3.550 -2.298 10.782 4.194" Properties=species:S:1:pos:R:3 pbc="T T T"
Rb -1.149 5.391 2.097
Rb 0.000 0.000 0.000
Cl -3.755 7.102 4.564
Cl -0.163 1.817 3.533
F -3.387 5.373 3.892
F -4.123 8.830 5.237
F -0.532 3.545 4.205
F 0.205 0.088 2.861
```

## Properties
The value obtained for the density of states at the Fermi level is 0.00 states/eV/cell. The space group is P6_3/mmc. Its formation energy (no corrections) is -6.81 eV/f.u.

***

Among the records above, which one has the lowest formation energy (no corrections)? RbCl3F12

***

Which value of formation energy (no corrections) does entry 5 give? -14.52 eV/f.u.